*1*
VASP calculation (PBE-GGA) on a relaxed KRb2Te2 crystal.

Results
Crystal system: tetragonal
D(E_F), states/eV/atom: 0.1804

a b c (Å): 10.3825 10.3825 3.9333
angles (deg): 90.00 90.00 90.00
Atoms (fractional coordinates):
K (0.0000, 0.0000, 0.0000)
K (0.5000, 0.5000, 0.0000)
Te (0.1782, 0.6782, 0.5000)
Te (0.6782, 0.8218, 0.5000)
Te (0.8218, 0.3218, 0.5000)
Te (0.3218, 0.1782, 0.5000)
Rb (0.3795, 0.8795, 0.0000)
Rb (0.8795, 0.6205, 0.0000)
Rb (0.6205, 0.1205, 0.0000)
Rb (0.1205, 0.3795, 0.0000)


*2*
VASP calculation (PBE-GGA) on a relaxed KRb2Te2 crystal.

Results
Crystal system: tetragonal
D(E_F), states/eV/atom: 0.2398

a b c (Å): 10.3560 10.3560 4.0779
angles (deg): 90.00 90.00 90.00
Atoms (fractional coordinates):
K (0.0000, 0.0000, 0.0000)
K (0.5000, 0.5000, 0.0000)
Te (0.3242, 0.8242, 0.0000)
Te (0.8242, 0.6758, 0.0000)
Te (0.6758, 0.1758, 0.0000)
Te (0.1758, 0.3242, 0.0000)
Rb (0.1231, 0.6231, 0.5000)
Rb (0.6231, 0.8769, 0.5000)
Rb (0.8769, 0.3769, 0.5000)
Rb (0.3769, 0.1231, 0.5000)


Which is the most stable structure? *2* is the most stable.


*1*
VASP calculation (PBE-GGA) on a relaxed K2RbTe6 crystal.

Results
Crystal system: monoclinic
D(E_F), states/eV/atom: 0.3459

a b c (Å): 4.3115 9.8433 9.8433
angles (deg): 66.01 77.33 77.33
Atoms (fractional coordinates):
K (0.1382, 0.3625, 0.3625)
K (0.8622, 0.6376, 0.6376)
Rb (0.9985, 0.9995, 0.9995)
Te (0.3220, 0.9498, 0.4071)
Te (0.6785, 0.0503, 0.5930)
Te (0.6785, 0.5930, 0.0503)
Te (0.5000, 0.2958, 0.7044)
Te (0.5000, 0.7044, 0.2958)
Te (0.3220, 0.4071, 0.9498)


*2*
VASP calculation (PBE-GGA) on a relaxed K2RbTe6 crystal.

Results
Crystal system: monoclinic
D(E_F), states/eV/atom: 0.3658

a b c (Å): 4.6245 11.2427 11.2427
angles (deg): 61.78 52.41 52.41
Atoms (fractional coordinates):
K (0.0492, 0.3327, 0.3327)
K (0.9535, 0.6672, 0.6672)
Rb (0.9975, 0.9999, 0.9999)
Te (0.4551, 0.9133, 0.4232)
Te (0.5468, 0.0868, 0.5767)
Te (0.5468, 0.5767, 0.0868)
Te (0.4980, 0.2562, 0.7439)
Te (0.4980, 0.7439, 0.2562)
Te (0.4551, 0.4232, 0.9133)


Which is the most stable structure? *2* is the most stable.


*1*
VASP calculation (PBE-GGA) on a relaxed KRb3Te crystal.

Results
Crystal system: cubic
D(E_F), states/eV/atom: 0.1767

a b c (Å): 7.1619 7.1619 7.1619
angles (deg): 90.00 90.00 90.00
Atoms (fractional coordinates):
K (0.5000, 0.5000, 0.5000)
Te (0.0000, 0.0000, 0.0000)
Rb (0.0000, 0.5000, 0.0000)
Rb (0.0000, 0.0000, 0.5000)
Rb (0.5000, 0.0000, 0.0000)


*2*
VASP calculation (PBE-GGA) on a relaxed KRb3Te crystal.

Results
Crystal system: cubic
D(E_F), states/eV/atom: 0.0131

a b c (Å): 7.1590 7.1590 7.1590
angles (deg): 90.00 90.00 90.00
Atoms (fractional coordinates):
K (0.0000, 0.0000, 0.0000)
Te (0.5000, 0.5000, 0.5000)
Rb (0.0000, 0.5000, 0.0000)
Rb (0.0000, 0.0000, 0.5000)
Rb (0.5000, 0.0000, 0.0000)


Which is the most stable structure? *1* is the most stable.


*1*
VASP calculation (PBE-GGA) on a relaxed KRbTi2 crystal.

Results
Crystal system: cubic
D(E_F), states/eV/atom: 4.6788

a b c (Å): 6.0417 6.0417 6.0417
angles (deg): 60.00 60.00 60.00
Atoms (fractional coordinates):
K (0.0000, 0.0000, 0.0000)
Rb (0.5000, 0.5000, 0.5000)
Ti (0.2500, 0.2500, 0.2500)
Ti (0.7500, 0.7500, 0.7500)


*2*
VASP calculation (PBE-GGA) on a relaxed KRbTi2 crystal.

Results
Crystal system: tetragonal
D(E_F), states/eV/atom: 1.9967

a b c (Å): 9.7241 9.7241 7.4437
angles (deg): 49.22 49.22 90.00
Atoms (fractional coordinates):
K (0.5000, 0.5000, 0.0000)
K (0.2500, 0.7500, 0.5000)
Rb (0.0000, 0.0000, 0.0000)
Rb (0.7500, 0.2500, 0.5000)
Ti (0.6252, 0.1250, 0.2500)
Ti (0.1248, 0.6250, 0.2500)
Ti (0.3750, 0.3748, 0.7500)
Ti (0.8750, 0.8752, 0.7500)


Which is the most stable structure? *1* is the most stable.


*1*
VASP calculation (PBE-GGA) on a relaxed KRb3Ti crystal.

Results
Crystal system: cubic
D(E_F), states/eV/atom: 1.0076

a b c (Å): 7.2912 7.2912 7.2912
angles (deg): 90.00 90.00 90.00
Atoms (fractional coordinates):
K (0.5000, 0.5000, 0.5000)
Rb (0.0000, 0.5000, 0.0000)
Rb (0.0000, 0.0000, 0.5000)
Rb (0.5000, 0.0000, 0.0000)
Ti (0.0000, 0.0000, 0.0000)


*2*
VASP calculation (PBE-GGA) on a relaxed KRb3Ti crystal.

Results
Crystal system: cubic
D(E_F), states/eV/atom: 2.2564

a b c (Å): 7.4826 7.4826 7.4826
angles (deg): 90.00 90.00 90.00
Atoms (fractional coordinates):
K (0.0000, 0.0000, 0.0000)
Rb (0.0000, 0.5000, 0.0000)
Rb (0.0000, 0.0000, 0.5000)
Rb (0.5000, 0.0000, 0.0000)
Ti (0.5000, 0.5000, 0.5000)


Which is the most stable structure? *1* is the most stable.


*1*
VASP calculation (PBE-GGA) on a relaxed KRb2Tl crystal.

Results
Crystal system: tetragonal
D(E_F), states/eV/atom: 0.8890

a b c (Å): 4.7451 4.7451 10.6407
angles (deg): 90.00 90.00 90.00
Atoms (fractional coordinates):
Tl (0.5000, 0.5000, 0.0000)
K (0.5000, 0.5000, 0.5000)
Rb (0.0000, 0.0000, 0.8044)
Rb (0.0000, 0.0000, 0.1956)


*2*
VASP calculation (PBE-GGA) on a relaxed KRb2Tl crystal.

Results
Crystal system: tetragonal
D(E_F), states/eV/atom: 0.7357

a b c (Å): 5.9880 6.1869 6.1869
angles (deg): 90.00 90.00 90.00
Atoms (fractional coordinates):
Tl (0.5000, 0.0000, 0.0000)
K (0.5000, 0.5000, 0.5000)
Rb (0.0000, 0.0000, 0.5000)
Rb (0.0000, 0.5000, 0.0000)


*3*
VASP calculation (PBE-GGA) on a relaxed KRb2Tl crystal.

Results
Crystal system: tetragonal
D(E_F), states/eV/atom: 0.0939

a b c (Å): 11.1248 11.1248 8.8408
angles (deg): 51.01 51.01 90.00
Atoms (fractional coordinates):
Tl (0.0000, 0.0000, 0.0000)
Tl (0.7500, 0.2500, 0.5000)
K (0.5000, 0.5000, 0.0000)
K (0.2500, 0.7500, 0.5000)
Rb (0.6719, 0.1250, 0.2500)
Rb (0.0781, 0.6250, 0.2500)
Rb (0.3750, 0.3281, 0.7500)
Rb (0.8750, 0.9219, 0.7500)


Which is the most stable structure? *1* is the most stable.


*1*
VASP calculation (PBE-GGA) on a relaxed KRb2Tl crystal.

Results
Crystal system: monoclinic
D(E_F), states/eV/atom: 1.0190

a b c (Å): 7.9155 7.9155 6.7245
angles (deg): 65.10 65.10 37.98
Atoms (fractional coordinates):
K (0.4610, 0.4610, 0.5397)
Rb (0.0345, 0.0345, 0.9653)
Rb (0.2475, 0.2475, 0.2525)
Tl (0.7569, 0.7569, 0.7425)


*2*
VASP calculation (PBE-GGA) on a relaxed KRb2Tl crystal.

Results
Crystal system: monoclinic
D(E_F), states/eV/atom: 0.5601

a b c (Å): 8.3405 10.9531 12.3846
angles (deg): 116.11 90.00 90.00
Atoms (fractional coordinates):
K (0.4989, 0.1907, 0.4988)
K (0.9989, 0.3093, 0.5012)
K (0.5011, 0.8093, 0.5012)
K (0.0011, 0.6907, 0.4988)
Rb (0.7512, 0.0793, 0.1577)
Rb (0.2512, 0.4207, 0.8423)
Rb (0.2488, 0.9207, 0.8423)
Rb (0.7488, 0.5793, 0.1577)
Rb (0.7259, 0.6477, 0.7926)
Rb (0.2259, 0.8523, 0.2074)
Rb (0.2741, 0.3523, 0.2074)
Rb (0.7741, 0.1477, 0.7926)
Tl (0.6448, 0.4584, 0.4166)
Tl (0.1448, 0.0416, 0.5834)
Tl (0.3552, 0.5416, 0.5834)
Tl (0.8552, 0.9584, 0.4166)


*3*
VASP calculation (PBE-GGA) on a relaxed KRb2Tl crystal.

Results
Crystal system: cubic
D(E_F), states/eV/atom: 1.8095

a b c (Å): 6.8294 6.8294 6.8294
angles (deg): 60.00 60.00 60.00
Atoms (fractional coordinates):
Tl (0.5000, 0.5000, 0.5000)
K (0.0000, 0.0000, 0.0000)
Rb (0.2500, 0.2500, 0.2500)
Rb (0.7500, 0.7500, 0.7500)


*4*
VASP calculation (PBE-GGA) on a relaxed KRb2Tl crystal.

Results
Crystal system: monoclinic
D(E_F), states/eV/atom: 0.7630

a b c (Å): 5.0452 8.0112 14.2852
angles (deg): 72.91 79.83 71.65
Atoms (fractional coordinates):
K (0.1903, 0.8068, 0.8126)
K (0.4452, 0.8725, 0.2372)
Rb (0.1403, 0.3769, 0.3424)
Rb (0.8178, 0.8395, 0.5249)
Rb (0.4952, 0.3023, 0.7073)
Rb (0.8178, 0.3396, 0.0249)
Tl (0.0899, 0.7397, 0.0806)
Tl (0.5457, 0.9392, 0.9693)


Which is the most stable structure? *2* is the most stable.


*1*
VASP calculation (PBE-GGA) on a relaxed KRb3Tl8 crystal.

Results
Crystal system: trigonal
D(E_F), states/eV/atom: 0.3939

a b c (Å): 6.8868 6.8868 10.6709
angles (deg): 90.00 90.00 120.00
Atoms (fractional coordinates):
K (0.0000, 0.0000, 0.5612)
Rb (0.6667, 0.3333, 0.4395)
Rb (0.6667, 0.3333, 0.0608)
Rb (0.0000, 0.0000, 0.9362)
Tl (0.3333, 0.6667, 0.4979)
Tl (0.3333, 0.6667, 0.0034)
Tl (0.4995, 0.9990, 0.7484)
Tl (0.4995, 0.5005, 0.7484)
Tl (0.0010, 0.5005, 0.7484)
Tl (0.1648, 0.3297, 0.2520)
Tl (0.1648, 0.8352, 0.2520)
Tl (0.6703, 0.8352, 0.2520)


*2*
VASP calculation (PBE-GGA) on a relaxed KRb3Tl8 crystal.

Results
Crystal system: trigonal
D(E_F), states/eV/atom: 0.7756

a b c (Å): 6.8322 6.8322 11.7009
angles (deg): 73.02 73.02 60.00
Atoms (fractional coordinates):
K (0.8749, 0.8749, 0.3752)
Rb (0.3753, 0.3753, 0.8742)
Rb (0.9995, 0.9995, 0.0016)
Rb (0.5001, 0.5001, 0.4997)
Tl (0.9365, 0.4370, 0.1896)
Tl (0.4391, 0.9377, 0.6855)
Tl (0.4370, 0.4370, 0.1896)
Tl (0.9377, 0.9377, 0.6855)
Tl (0.1878, 0.1878, 0.4366)
Tl (0.6875, 0.6875, 0.9375)
Tl (0.4370, 0.9365, 0.1896)
Tl (0.9377, 0.4391, 0.6855)


Which is the most stable structure? *1* is the most stable.


*1*
VASP calculation (PBE-GGA) on a relaxed KRb2Tl2 crystal.

Results
Crystal system: tetragonal
D(E_F), states/eV/atom: 1.0180

a b c (Å): 9.1093 9.1093 6.2278
angles (deg): 90.00 90.00 90.00
Atoms (fractional coordinates):
Tl (0.3843, 0.8843, 0.0000)
Tl (0.8843, 0.6157, 0.0000)
Tl (0.6157, 0.1157, 0.0000)
Tl (0.1157, 0.3843, 0.0000)
K (0.0000, 0.0000, 0.0000)
K (0.5000, 0.5000, 0.0000)
Rb (0.1735, 0.6735, 0.5000)
Rb (0.6735, 0.8265, 0.5000)
Rb (0.8265, 0.3265, 0.5000)
Rb (0.3265, 0.1735, 0.5000)


*2*
VASP calculation (PBE-GGA) on a relaxed KRb2Tl2 crystal.

Results
Crystal system: tetragonal
D(E_F), states/eV/atom: 0.5918

a b c (Å): 4.5748 4.5748 14.2093
angles (deg): 80.74 80.74 90.00
Atoms (fractional coordinates):
Tl (0.7500, 0.2500, 0.5000)
Tl (0.2500, 0.7500, 0.5000)
K (0.0000, 0.0000, 0.0000)
Rb (0.3669, 0.3669, 0.2662)
Rb (0.6331, 0.6331, 0.7338)


*3*
VASP calculation (PBE-GGA) on a relaxed KRb2Tl2 crystal.

Results
Crystal system: monoclinic
D(E_F), states/eV/atom: 0.8046

a b c (Å): 5.0462 7.5945 7.5468
angles (deg): 99.89 109.53 90.00
Atoms (fractional coordinates):
K (0.0000, 0.0000, 0.0000)
Rb (0.3551, 0.4241, 0.7103)
Rb (0.6449, 0.5759, 0.2897)
Tl (0.7177, 0.0936, 0.4353)
Tl (0.2823, 0.9064, 0.5647)


*4*
VASP calculation (PBE-GGA) on a relaxed KRb2Tl2 crystal.

Results
Crystal system: tetragonal
D(E_F), states/eV/atom: 0.7524

a b c (Å): 5.7563 5.7563 9.0356
angles (deg): 71.43 71.43 90.00
Atoms (fractional coordinates):
Tl (0.4089, 0.4089, 0.1822)
Tl (0.5911, 0.5911, 0.8178)
K (0.0000, 0.0000, 0.0000)
Rb (0.7500, 0.2500, 0.5000)
Rb (0.2500, 0.7500, 0.5000)


Which is the most stable structure? *3* is the most stable.


*1*
VASP calculation (PBE-GGA) on a relaxed KRb2Tl2 crystal.

Results
Crystal system: tetragonal
D(E_F), states/eV/atom: 1.0547

a b c (Å): 11.0242 11.0242 4.0716
angles (deg): 90.00 90.00 90.00
Atoms (fractional coordinates):
Tl (0.1608, 0.6608, 0.5000)
Tl (0.6608, 0.8392, 0.5000)
Tl (0.8392, 0.3392, 0.5000)
Tl (0.3392, 0.1608, 0.5000)
K (0.0000, 0.0000, 0.0000)
K (0.5000, 0.5000, 0.0000)
Rb (0.3637, 0.8637, 0.0000)
Rb (0.8637, 0.6363, 0.0000)
Rb (0.6363, 0.1363, 0.0000)
Rb (0.1363, 0.3637, 0.0000)


*2*
VASP calculation (PBE-GGA) on a relaxed KRb2Tl2 crystal.

Results
Crystal system: monoclinic
D(E_F), states/eV/atom: 0.7566

a b c (Å): 7.4868 7.2856 11.9874
angles (deg): 65.52 71.80 59.08
Atoms (fractional coordinates):
K (0.1495, 0.7500, 0.2500)
K (0.8505, 0.2500, 0.7500)
Rb (0.4863, 0.8577, 0.8549)
Rb (0.8011, 0.3577, 0.3549)
Rb (0.5137, 0.1423, 0.1451)
Rb (0.1989, 0.6423, 0.6451)
Tl (0.2976, 0.1981, 0.4975)
Tl (0.9932, 0.3019, 0.0025)
Tl (0.7024, 0.8019, 0.5025)
Tl (0.0068, 0.6981, 0.9975)


Which is the most stable structure? *2* is the most stable.